Compound: Ba2TaCo
Source: Alexandria via LeMat-Bulk
Functional: meta-GGA SCAN
Structure: PBEsol geometry

The energy of formation comes out at 1368 meV/atom. For the energy, the calculation gives -39.379 eV per atom. The calculated volume is 109.5 Å³ per cell. For the energy relative to the lowest polymorph listed for this composition, the calculation gives 913.3 meV/atom.

a b c (Å): 5.3697 5.3697 5.3697
angles (deg): 60.00 60.00 60.00
Fractional positions:
Co1 0.0000 0.0000 0.0000
Ba1 0.2500 0.2500 0.2500
Ba2 0.7500 0.7500 0.7500
Ta1 0.5000 0.5000 0.5000

---

Compound: BaTaCo
Source: Alexandria via LeMat-Bulk
Functional: meta-GGA SCAN
Structure: PBEsol geometry

The energy of formation comes out at 569 meV/atom. For the energy, the calculation gives -40.577 eV per atom. The calculated volume is 67.3 Å³ per cell.

a b c (Å): 3.2673 3.2673 6.7103
angles (deg): 104.09 104.09 90.00
Fractional positions:
Co1 0.2869 0.2869 0.5737
Ba1 0.9915 0.9915 0.9830
Ta1 0.7217 0.7217 0.4433

---

Compound: Ba2CoTc
Source: Alexandria via LeMat-Bulk
Functional: meta-GGA SCAN
Structure: PBEsol geometry

The energy of formation comes out at 618 meV/atom. For the energy, the calculation gives -32.248 eV per atom. The calculated volume is 115.7 Å³ per cell. For the energy relative to the lowest polymorph listed for this composition, the calculation gives 0.0 meV/atom.

a b c (Å): 3.8974 4.8978 6.8233
angles (deg): 111.03 106.59 90.00
Fractional positions:
Ba1 0.0150 0.0150 0.0300
Ba2 0.2386 0.7386 0.4772
Co1 0.4147 0.4147 0.8293
Tc1 0.8317 0.3317 0.6635

---

Compound: Ba2CoTc
Source: Alexandria via LeMat-Bulk
Functional: meta-GGA SCAN
Structure: PBEsol geometry

The energy of formation comes out at 1180 meV/atom. For the energy, the calculation gives -31.686 eV per atom. The calculated volume is 97.4 Å³ per cell. For the energy relative to the lowest polymorph listed for this composition, the calculation gives 561.6 meV/atom.

a b c (Å): 5.1652 5.1652 5.1652
angles (deg): 60.00 60.00 60.00
Fractional positions:
Ba1 0.0000 0.0000 0.0000
Ba2 0.7500 0.7500 0.7500
Co1 0.5000 0.5000 0.5000
Tc1 0.2500 0.2500 0.2500